SrAc4In4: optimized geometry, PBE.

Geometry as POSCAR:
```
SrAc4In4
1.0
6.8229 0.0000 0.0000
0.0000 10.4244 0.0000
0.0000 0.0000 10.4244
Sr In Ac
2 8 8
direct
0.0000 0.0000 0.0000
0.5000 0.5000 0.5000
0.6320 0.7704 0.3645
0.8680 0.7296 0.1355
0.1320 0.8645 0.7296
0.3680 0.6355 0.7704
0.8680 0.2704 0.8645
0.1320 0.1355 0.2704
0.6320 0.2296 0.6355
0.3680 0.3645 0.2296
0.1304 0.8246 0.4072
0.8696 0.4072 0.1754
0.6304 0.9072 0.6754
0.6304 0.0928 0.3246
0.1304 0.1754 0.5928
0.8696 0.5928 0.8246
0.3696 0.3246 0.9072
0.3696 0.6754 0.0928
```

Properties
Calculated formation energy, meV/atom: -220
Calculated volume, Å³ per cell: 741.4
E_tot, eV per atom: -3.4503
Total moment, μB/f.u.: 0.0



SrAcIn4: optimized geometry, PBE.

Geometry as POSCAR:
```
SrAcIn4
1.0
-0.8356 -0.0916 4.9166
2.5483 -5.3800 2.8630
5.2166 2.1158 3.4562
In Sr Ac
4 1 1
direct
0.8375 0.4696 0.8555
0.1604 0.6414 0.0379
0.1604 0.0379 0.6414
0.8375 0.8555 0.4696
0.5557 0.4443 0.4443
0.4486 0.0514 0.0514
```

Properties
Excess energy over the best structure of this formula in the dataset, eV per formula unit: 0.00
Calculated formation energy, meV/atom: -445
Calculated volume, Å³ per cell: 184.5
E_tot, eV per atom: -3.2360
Total moment, μB/f.u.: 0.0



Sr2AcIn: optimized geometry, PBE.

Geometry as POSCAR:
```
Sr2AcIn
1.0
5.6977 0.0000 0.0000
0.0000 5.2864 0.0000
0.0000 0.0000 5.2864
In Sr Ac
1 2 1
direct
0.5000 0.0000 0.0000
0.0000 0.5000 0.0000
0.0000 0.0000 0.5000
0.5000 0.5000 0.5000
```

Properties
Excess energy over the best structure of this formula in the dataset, eV per formula unit: 0.06
Calculated formation energy, meV/atom: -144
Calculated volume, Å³ per cell: 159.2
E_tot, eV per atom: -2.6969
Total moment, μB/f.u.: 0.0



SrAc3In: optimized geometry, PBE.

Geometry as POSCAR:
```
SrAc3In
1.0
-2.8344 4.6444 4.0224
-7.9651 -3.6996 -1.3409
5.0918 -2.7369 6.7481
Ac Sr In
6 2 2
direct
0.7500 0.6271 0.8136
0.2500 0.8137 0.1865
0.2500 0.8137 0.6271
0.2500 0.3729 0.1864
0.7500 0.1863 0.8135
0.7500 0.1863 0.3729
0.7500 0.6667 0.3334
0.2500 0.3333 0.6667
0.0000 0.0000 0.0000
0.5000 0.0000 0.0000
```

Properties
Calculated formation energy, meV/atom: 88
Calculated volume, Å³ per cell: 462.5
E_tot, eV per atom: -3.2616
Total moment, μB/f.u.: 1.0



Sr2AcIn2: optimized geometry, PBE.

Geometry as POSCAR:
```
Sr2AcIn2
1.0
-1.1096 -2.3479 3.8350
-2.5313 -4.8124 -3.6786
14.1519 -2.5490 2.5340
Sr In Ac
4 4 2
direct
0.2500 0.7832 0.8748
0.7500 0.2168 0.1252
0.2500 0.2925 0.5487
0.7500 0.7075 0.4513
0.7500 0.1401 0.3542
0.2500 0.8599 0.6458
0.7500 0.6559 0.0187
0.2500 0.3441 0.9813
0.7500 0.2132 0.7922
0.2500 0.7868 0.2078
```

Properties
Excess energy over the best structure of this formula in the dataset, eV per formula unit: 0.39
Calculated formation energy, meV/atom: -233
Calculated volume, Å³ per cell: 417.0
E_tot, eV per atom: -2.8224
Total moment, μB/f.u.: 0.0



SrAc2In3: optimized geometry, PBE.

Geometry as POSCAR:
```
SrAc2In3
1.0
5.7925 0.0000 0.0000
-2.8963 5.0165 0.0000
0.0000 0.0000 14.2212
Ac In Sr
4 6 2
direct
0.3333 0.6667 0.1714
0.0000 0.0000 0.5000
0.6667 0.3333 0.8286
0.0000 0.0000 0.0000
0.6667 0.3333 0.5820
0.3333 0.6667 0.4180
0.0000 0.0000 0.2503
0.0000 0.0000 0.7497
0.3333 0.6667 0.9178
0.6667 0.3333 0.0822
0.3333 0.6667 0.6680
0.6667 0.3333 0.3320
```

Properties
Excess energy over the best structure of this formula in the dataset, eV per formula unit: 0.00
Calculated formation energy, meV/atom: -423
Calculated volume, Å³ per cell: 413.2
E_tot, eV per atom: -3.4422
Total moment, μB/f.u.: 0.0



Sr3Ac4In4: optimized geometry, PBE.

Geometry as POSCAR:
```
Sr3Ac4In4
1.0
-3.3409 -4.6938 0.0595
4.5673 -3.3281 -6.0907
4.9182 0.1532 9.2715
In Sr Ac
4 3 4
direct
0.5000 0.8212 0.0000
0.1883 0.6883 0.3766
0.8117 0.3117 0.6234
0.5000 0.1788 0.0000
0.0000 0.5000 0.0000
0.8970 0.8970 0.7939
0.1030 0.1030 0.2061
0.6761 0.4543 0.3522
0.3239 0.5457 0.6478
0.3239 0.1021 0.6478
0.6761 0.8979 0.3522
```

Properties
Calculated formation energy, meV/atom: -226
Calculated volume, Å³ per cell: 440.4
E_tot, eV per atom: -3.1743
Total moment, μB/f.u.: 0.0



Sr2AcIn2: optimized geometry, PBE.

Geometry as POSCAR:
```
Sr2AcIn2
1.0
-2.2781 3.1494 -1.3439
-3.2148 -3.7046 -3.2320
-8.5847 -3.5214 12.5752
Ac Sr In
2 4 4
direct
0.8593 0.7500 0.7185
0.1407 0.2500 0.2815
0.7726 0.2500 0.5451
0.0438 0.7500 0.0881
0.9562 0.2500 0.9119
0.2274 0.7500 0.4549
0.6374 0.7500 0.2758
0.5487 0.2500 0.0979
0.4513 0.7500 0.9021
0.3626 0.2500 0.7242
```

Properties
Excess energy over the best structure of this formula in the dataset, eV per formula unit: 0.00
Calculated formation energy, meV/atom: -310
Calculated volume, Å³ per cell: 374.3
E_tot, eV per atom: -2.8998
Total moment, μB/f.u.: 0.0



SrAc2In6: optimized geometry, PBE.

Geometry as POSCAR:
```
SrAc2In6
1.0
-3.5819 1.8781 0.6357
-3.0371 -7.2025 4.1655
4.1420 6.3490 4.5811
In Sr Ac
6 1 2
direct
0.5000 0.3326 0.0000
0.5000 0.6674 0.0000
0.5000 0.3326 0.3326
0.5000 0.6674 0.6674
0.5000 0.0000 0.6674
0.5000 0.0000 0.3326
0.0000 0.0000 0.0000
0.0000 0.6667 0.3333
0.0000 0.3333 0.6667
```

Properties
Calculated formation energy, meV/atom: -419
Calculated volume, Å³ per cell: 278.2
E_tot, eV per atom: -3.3442
Total moment, μB/f.u.: 0.0



SrAcIn: optimized geometry, PBE.

Geometry as POSCAR:
```
SrAcIn
1.0
5.1717 0.0000 0.0000
0.0000 5.1717 0.0000
0.0000 0.0000 8.7971
In Ac Sr
2 2 2
direct
0.5000 0.0000 0.2583
0.0000 0.5000 0.7417
0.0000 0.5000 0.3705
0.5000 0.0000 0.6295
0.5000 0.5000 0.0000
0.0000 0.0000 0.0000
```

Properties
Excess energy over the best structure of this formula in the dataset, eV per formula unit: 0.26
Calculated formation energy, meV/atom: -247
Calculated volume, Å³ per cell: 235.3
E_tot, eV per atom: -3.0897
Total moment, μB/f.u.: 0.0



SrAcIn6: optimized geometry, PBE.

Geometry as POSCAR:
```
SrAcIn6
1.0
-3.5553 -3.3456 1.3117
3.5733 -1.5933 5.6214
-3.3006 4.8713 3.4787
In Ac Sr
6 1 1
direct
0.5000 0.8598 0.2474
0.5000 0.2562 0.0000
0.5000 0.8598 0.7526
0.0000 0.1420 0.2560
0.0000 0.1420 0.7440
0.0000 0.7392 0.5000
0.0000 0.6110 0.0000
0.5000 0.3899 0.5000
```

Properties
Excess energy over the best structure of this formula in the dataset, eV per formula unit: 0.21
Calculated formation energy, meV/atom: -347
Calculated volume, Å³ per cell: 236.7
E_tot, eV per atom: -3.1248
Total moment, μB/f.u.: 0.0



Sr2AcIn: optimized geometry, PBE.

Geometry as POSCAR:
```
Sr2AcIn
1.0
4.0599 0.0000 0.0000
2.0299 3.5159 0.0000
2.0299 1.1720 12.0310
In Sr Ac
1 2 1
direct
0.6663 0.6663 0.0010
0.2621 0.2621 0.2136
0.0710 0.0710 0.7869
0.5005 0.5005 0.4985
```

Properties
Excess energy over the best structure of this formula in the dataset, eV per formula unit: 0.31
Calculated formation energy, meV/atom: -82
Calculated volume, Å³ per cell: 171.7
E_tot, eV per atom: -2.6347
Total moment, μB/f.u.: 0.0



SrAc2In3: optimized geometry, PBE.

Geometry as POSCAR:
```
SrAc2In3
1.0
4.0552 0.0000 0.0000
0.0000 4.0552 0.0000
0.0000 0.0000 12.5579
In Sr Ac
3 1 2
direct
0.0000 0.0000 0.3376
0.0000 0.0000 0.0000
0.0000 0.0000 0.6624
0.5000 0.5000 0.5000
0.5000 0.5000 0.8306
0.5000 0.5000 0.1694
```

Properties
Excess energy over the best structure of this formula in the dataset, eV per formula unit: 0.01
Calculated formation energy, meV/atom: -421
Calculated volume, Å³ per cell: 206.5
E_tot, eV per atom: -3.4400
Total moment, μB/f.u.: 0.0



Sr5Ac12In3: optimized geometry, PBE.

Geometry as POSCAR:
```
Sr5Ac12In3
1.0
-18.1643 0.8473 -0.5085
6.2897 -5.1197 -16.2833
5.1565 -12.0970 12.5695
Sr In Ac
20 12 48
direct
0.7500 0.6250 0.3750
0.5000 0.0000 0.0000
0.1250 0.7500 0.3750
0.0000 0.5000 0.5000
0.0000 0.0000 0.5000
0.2500 0.8750 0.1250
0.5000 0.0000 0.5000
0.2500 0.3750 0.6250
0.3750 0.1250 0.7500
0.0000 0.5000 0.0000
0.6250 0.8750 0.2500
0.5000 0.5000 0.0000
0.1250 0.3750 0.2500
0.6250 0.7500 0.8750
0.3750 0.2500 0.1250
0.5000 0.5000 0.5000
0.8750 0.2500 0.6250
0.8750 0.6250 0.7500
0.0000 0.0000 0.0000
0.7500 0.1250 0.8750
0.3750 0.7500 0.6250
0.1250 0.8750 0.7500
0.7500 0.3750 0.1250
0.8750 0.1250 0.2500
0.7500 0.8750 0.6250
0.1250 0.2500 0.8750
0.2500 0.1250 0.3750
0.6250 0.2500 0.3750
0.2500 0.6250 0.8750
0.3750 0.6250 0.2500
0.8750 0.7500 0.1250
0.6250 0.3750 0.7500
0.1000 0.1490 0.2384
0.3510 0.7616 0.4000
0.5894 0.2384 0.1384
0.9510 0.1000 0.8616
0.4510 0.0894 0.3510
0.1384 0.7384 0.5894
0.8616 0.6000 0.9510
0.7616 0.3510 0.9000
0.2384 0.5894 0.6384
0.7616 0.4106 0.3616
0.8510 0.9000 0.2616
0.2384 0.6490 0.1000
0.0894 0.4510 0.8510
0.4000 0.2616 0.3510
0.6384 0.0894 0.2384
0.1490 0.1000 0.7384
0.6384 0.5490 0.9000
0.1384 0.4000 0.0490
0.0490 0.1490 0.4106
0.3616 0.9106 0.7616
0.9106 0.5490 0.1490
0.4000 0.1384 0.5490
0.2616 0.4000 0.8510
0.4510 0.3616 0.6000
0.1000 0.9510 0.3616
0.7384 0.6000 0.1490
0.8616 0.2616 0.4106
0.6000 0.7384 0.6490
0.2616 0.8616 0.9106
0.7384 0.1384 0.0894
0.5490 0.6384 0.4000
0.3616 0.4510 0.1000
0.0490 0.9000 0.1384
0.6000 0.8616 0.4510
0.6490 0.2384 0.6000
0.4106 0.7616 0.8616
0.1490 0.0490 0.9106
0.9000 0.0490 0.6384
0.0894 0.6384 0.7384
0.9000 0.8510 0.7616
0.3510 0.5894 0.4510
0.5894 0.3510 0.9510
0.9510 0.8510 0.5894
0.5490 0.9106 0.6490
0.6490 0.4106 0.5490
0.9106 0.3616 0.2616
0.4106 0.6490 0.0490
0.8510 0.9510 0.0894
```

Properties
Calculated formation energy, meV/atom: 606
Calculated volume, Å³ per cell: 4634.0
E_tot, eV per atom: -2.6901
Total moment, μB/f.u.: 0.0



Sr2Ac2In3: optimized geometry, PBE.

Geometry as POSCAR:
```
Sr2Ac2In3
1.0
-1.8704 -3.6975 -2.0240
-1.5741 -2.9909 8.6323
-5.8800 2.3390 0.7029
Ac Sr In
2 2 3
direct
0.2202 0.1762 0.4651
0.7798 0.8238 0.5349
0.6881 0.3138 0.9210
0.3119 0.6862 0.0790
0.0000 0.0000 0.0000
0.7543 0.4610 0.3750
0.2457 0.5390 0.6250
```

Properties
Excess energy over the best structure of this formula in the dataset, eV per formula unit: 0.50
Calculated formation energy, meV/atom: -266
Calculated volume, Å³ per cell: 268.3
E_tot, eV per atom: -3.0944
Total moment, μB/f.u.: 0.0



SrAcIn: optimized geometry, PBE.

Geometry as POSCAR:
```
SrAcIn
1.0
-1.6243 -3.7587 -0.0884
5.2278 -2.2598 0.0311
-2.6808 1.0429 4.9156
Ac In Sr
1 1 1
direct
0.9458 0.0000 0.0000
0.6618 0.6667 0.3333
0.3924 0.3333 0.6667
```

Properties
Excess energy over the best structure of this formula in the dataset, eV per formula unit: 0.49
Calculated formation energy, meV/atom: -170
Calculated volume, Å³ per cell: 115.1
E_tot, eV per atom: -3.0125
Total moment, μB/f.u.: 0.0



Sr3Ac2In2: optimized geometry, PBE.

Geometry as POSCAR:
```
Sr3Ac2In2
1.0
5.6498 -0.0237 -1.8036
-3.0919 5.0626 -0.0259
0.0083 0.0468 9.7833
Ac Sr In
2 3 2
direct
0.7991 0.4005 0.1989
0.2009 0.5995 0.8011
0.2824 0.1415 0.4236
0.7176 0.8585 0.5764
0.0000 0.0000 0.0000
0.5368 0.2671 0.8044
0.4632 0.7329 0.1956
```

Properties
Calculated formation energy, meV/atom: -245
Calculated volume, Å³ per cell: 279.5
E_tot, eV per atom: -2.9222
Total moment, μB/f.u.: 0.0



SrAcIn: optimized geometry, PBE.

Geometry as POSCAR:
```
SrAcIn
1.0
-3.1028 1.4901 -2.1715
-2.1629 -3.3564 0.7874
-0.0435 4.0582 6.6607
In Ac Sr
1 1 1
direct
0.9512 0.9512 0.9024
0.5885 0.5885 0.1769
0.3103 0.3103 0.6207
```

Properties
Excess energy over the best structure of this formula in the dataset, eV per formula unit: 0.27
Calculated formation energy, meV/atom: -243
Calculated volume, Å³ per cell: 120.1
E_tot, eV per atom: -3.0858
Total moment, μB/f.u.: 0.0



SrAcIn: optimized geometry, PBE.

Geometry as POSCAR:
```
SrAcIn
1.0
-4.4703 -0.2710 -3.5161
-0.8587 -4.6584 -3.1595
-4.3467 -3.4819 1.1845
Sr In Ac
1 1 1
direct
0.5000 0.5000 0.5000
0.2500 0.2500 0.2500
0.0000 0.0000 0.0000
```

Properties
Excess energy over the best structure of this formula in the dataset, eV per formula unit: 0.47
Calculated formation energy, meV/atom: -176
Calculated volume, Å³ per cell: 130.5
E_tot, eV per atom: -3.0187
Total moment, μB/f.u.: 0.0



Sr5AcIn6: optimized geometry, PBE.

Geometry as POSCAR:
```
Sr5AcIn6
1.0
5.5742 -0.0056 -1.5631
-4.1811 8.0715 -4.2141
-0.2202 -1.2022 9.9446
Sr In Ac
5 6 1
direct
0.5000 0.5000 0.5000
0.5000 0.1693 0.8307
0.0000 0.6665 0.3335
0.5000 0.8307 0.1693
0.0000 0.3335 0.6665
0.7505 0.2503 0.2503
0.2495 0.7497 0.7497
0.2495 0.0848 0.4164
0.2495 0.4164 0.0848
0.7505 0.5836 0.9152
0.7505 0.9152 0.5836
0.0000 0.0000 0.0000
```

Properties
Calculated formation energy, meV/atom: -430
Calculated volume, Å³ per cell: 408.3
E_tot, eV per atom: -2.8419
Total moment, μB/f.u.: 0.0